Compound: Cs5Sb2Pt
Source: the Alexandria database
Functional: PBE
Structure: optimized geometry

As for the spin magnetization: 0.001 μB/atom. The value obtained for the raw total energy is -2.6917 eV per atom.

a b c (Å): 6.4717 6.4717 30.2362
angles (deg): 90.00 90.00 120.00
Space group R-3m (No. 166, hexagonal axes)
Inequivalent atoms, fractional coordinates:
1 Cs 0.0000 0.0000 0.0000 x3
2 Cs 0.0000 0.0000 0.1412 x6
3 Cs 0.0000 0.0000 0.2814 x6
4 Sb 0.0000 0.0000 0.4136 x6
5 Pt 0.0000 0.0000 0.5000 x3